1.
{
  "formula": "CsYHgO3",
  "functional": "PBE-GGA",
  "state": "relaxed",
  "formation_energy_uncorrected_ev_per_atom": -1.918,
  "sg": "No. 11",
  "lattice": [[7.7094, 0.0000, 0.0000], [0.0000, 3.6442, 0.0000], [-1.9108, 0.0000, 9.2843]],
  "species": ["Cs", "Cs", "Y", "Y", "Hg", "Hg", "O", "O", "O", "O", "O", "O"],
  "fractional_positions": [[0.0377, 0.2500, 0.3237], [0.9623, 0.7500, 0.6763], [0.4655, 0.2500, 0.6487], [0.5345, 0.7500, 0.3513], [0.3150, 0.2500, 0.0022], [0.6850, 0.7500, 0.9978], [0.2532, 0.2500, 0.7880], [0.3518, 0.7500, 0.5157], [0.3726, 0.2500, 0.2192], [0.6274, 0.7500, 0.7808], [0.6482, 0.2500, 0.4843], [0.7468, 0.7500, 0.2120]]
}

2.
{
  "formula": "KRbP",
  "functional": "PBE-GGA",
  "state": "relaxed",
  "relative_energy_ev_per_atom": 0.0183,
  "delta_e_f_ev_per_atom": -0.18,
  "sg": "No. 2",
  "lattice": [[4.4997, 0.0000, 0.0000], [0.4056, 6.6160, 0.0000], [0.0878, 2.4421, 9.0314]],
  "species": ["K", "K", "Rb", "Rb", "P", "P"],
  "fractional_positions": [[0.2207, 0.2979, 0.3035], [0.7793, 0.7021, 0.6965], [0.2412, 0.1795, 0.8311], [0.7588, 0.8205, 0.1689], [0.2999, 0.6030, 0.9717], [0.7001, 0.3970, 0.0283]]
}

3.
{
  "formula": "ZrZn2Pt",
  "functional": "PBE-GGA",
  "state": "relaxed",
  "delta_e_f_ev_per_atom": -0.19,
  "sg": "No. 122",
  "lattice": [[-3.7189, 3.7189, 2.6628], [3.7189, -3.7189, 2.6628], [3.7189, 3.7189, -2.6628]],
  "species": ["Zr", "Zr", "Zn", "Zn", "Zn", "Zn", "Pt", "Pt"],
  "fractional_positions": [[0.0000, 0.0000, 0.0000], [0.7500, 0.2500, 0.5000], [0.1575, 0.6250, 0.0325], [0.3750, 0.4075, 0.5325], [0.5925, 0.1250, 0.9675], [0.8750, 0.8425, 0.4675], [0.2500, 0.7500, 0.5000], [0.5000, 0.5000, 0.0000]]
}

| no. | E_tot (eV/atom) |
| --- | --- |
| 1 | -5.6671 |
| 2 | -2.6712 |
| 3 | -4.4745 |